[1]
Compound: YCoCl2
Source: Alexandria
Functional: GGA-PBE
Structure: optimized geometry

a b c (Å): 3.630 4.458 12.324
angles (deg): 90.00 90.00 90.00
Space group Immm (No. 71)
One atom of each set of equivalent atoms:
1 Y 0.000 0.000 0.000 (multiplicity 2)
2 Co 0.000 0.000 0.500 (multiplicity 2)
3 Cl 0.000 0.500 0.133 (multiplicity 4)

Output
D(E_F) in states/eV/f.u.: 1.85
Offset from the most stable computed form in meV/atom: 168



[2]
Compound: YCoCl2
Source: Alexandria
Functional: GGA-PBE
Structure: optimized geometry

a b c (Å): 10.226 3.476 7.142
angles (deg): 90.00 126.03 90.00
Space group Cm (No. 8)
One atom of each set of equivalent atoms:
1 Y 0.000 0.000 0.000 (multiplicity 2)
2 Co 0.254 0.500 0.286 (multiplicity 2)
3 Cl 0.301 0.000 0.044 (multiplicity 2)
4 Cl 0.397 0.000 0.626 (multiplicity 2)

Output
Offset from the most stable computed form in meV/atom: 263



[3]
Compound: YCoCl2
Source: Alexandria
Functional: GGA-PBE
Structure: optimized geometry

a b c (Å): 3.429 3.873 13.338
angles (deg): 90.00 90.00 90.00
Space group Imm2 (No. 44)
One atom of each set of equivalent atoms:
1 Y 0.000 0.000 0.000 (multiplicity 2)
2 Co 0.000 0.500 0.354 (multiplicity 2)
3 Cl 0.000 0.000 0.601 (multiplicity 2)
4 Cl 0.000 0.500 0.853 (multiplicity 2)

Output
D(E_F) in states/eV/f.u.: 1.87
Offset from the most stable computed form in meV/atom: 248



[4]
Compound: YCoCl2
Source: Alexandria
Functional: GGA-PBE
Structure: optimized geometry

a b c (Å): 3.571 4.129 5.222
angles (deg): 90.00 90.00 90.00
Space group Pmmm (No. 47)
One atom of each set of equivalent atoms:
1 Y 0.000 0.000 0.000 (multiplicity 1)
2 Co 0.500 0.000 0.500 (multiplicity 1)
3 Cl 0.000 0.500 0.500 (multiplicity 1)
4 Cl 0.500 0.500 0.000 (multiplicity 1)

Output
D(E_F) in states/eV/f.u.: 2.33
Offset from the most stable computed form in meV/atom: 461



[5]
Compound: YCoCl
Source: Alexandria
Functional: GGA-PBE
Structure: optimized geometry

a b c (Å): 3.6129 3.6129 6.4860
angles (deg): 90.00 90.00 120.00
Space group P3m1 (No. 156)
One atom of each set of equivalent atoms:
1 Y 0.0000 0.0000 0.0000 (multiplicity 1)
2 Co 0.3333 0.6667 0.7233 (multiplicity 1)
3 Cl 0.6667 0.3333 0.2857 (multiplicity 1)

Output
D(E_F) in states/eV/f.u.: 1.92



[6]
Compound: YCoCl
Source: Alexandria
Functional: GGA-PBE
Structure: optimized geometry

a b c (Å): 3.8756 3.8756 32.6084
angles (deg): 90.00 90.00 120.00
Space group R-3m (No. 166, hexagonal axes)
One atom of each set of equivalent atoms:
1 Y 0.0000 0.0000 0.0580 (multiplicity 6)
2 Co 0.0000 0.0000 0.3357 (multiplicity 6)
3 Cl 0.0000 0.0000 0.2223 (multiplicity 6)

Output
D(E_F) in states/eV/f.u.: 1.90



Number 1: size of the total moment 1.19 μB/f.u., electronic total energy -40.96 eV per cell. Number 2: size of the total moment 1.97 μB/f.u., electronic total energy -40.21 eV per cell. Number 3: size of the total moment 0.63 μB/f.u., electronic total energy -40.33 eV per cell. Number 4: size of the total moment 1.43 μB/f.u., electronic total energy -19.31 eV per cell. Number 5: size of the total moment 1.01 μB/f.u., electronic total energy -16.58 eV per cell. Number 6: size of the total moment 0.27 μB/f.u., electronic total energy -113.81 eV per cell.